Density functional theory data (GGA-PBE) for a relaxed structure of Ac2Ge3Rh2.

```
data_Ac2Ge3Rh2
_cell_length_a 11.2043
_cell_length_b 4.2019
_cell_length_c 7.5058
_cell_angle_alpha 90.00
_cell_angle_beta 119.05
_cell_angle_gamma 90.00
_space_group_name_H-M_alt 'C 1 2/m 1'
_space_group_IT_number 12
_space_group_name_Hall '-C 2y'
loop_
_atom_site_label
_atom_site_fract_x
_atom_site_fract_y
_atom_site_fract_z
Ac1 0.1390 0.0000 0.2686
Ge1 0.0000 0.5000 0.5000
Ge2 0.1423 0.5000 0.9348
Rh1 0.1336 0.0000 0.7170
```

* final energy: -5.9219 eV/atom
* size of the total moment: 0.00 μB/f.u.
* ΔH_f (0 K): -0.669 eV per atom
* polymorph energy (0 for the lowest one): 0.037 eV per atom



Density functional theory data (GGA-PBE) for a relaxed structure of Ac6GeRh4.

```
data_Ac6GeRh4
_cell_length_a 4.3715
_cell_length_b 14.2112
_cell_length_c 21.7113
_cell_angle_alpha 90.00
_cell_angle_beta 90.00
_cell_angle_gamma 90.00
_space_group_name_H-M_alt 'C m c m'
_space_group_IT_number 63
_space_group_name_Hall '-C 2c 2'
loop_
_atom_site_label
_atom_site_fract_x
_atom_site_fract_y
_atom_site_fract_z
Ac1 0.0000 0.0000 0.0000
Ac2 0.0000 0.1800 0.2500
Ac3 0.0000 0.2695 0.5859
Ac4 0.0000 0.4563 0.1600
Ge1 0.0000 0.1578 0.7500
Rh1 0.0000 0.0990 0.1283
Rh2 0.0000 0.3616 0.0439
```

* final energy: -5.9676 eV/atom
* size of the total moment: 0.00 μB/f.u.
* ΔH_f (0 K): -0.634 eV per atom



Density functional theory data (GGA-PBE) for a relaxed structure of Ac2Ge2Rh3.

```
data_Ac2Ge2Rh3
_cell_length_a 11.4564
_cell_length_b 3.9812
_cell_length_c 7.2292
_cell_angle_alpha 90.00
_cell_angle_beta 113.29
_cell_angle_gamma 90.00
_space_group_name_H-M_alt 'C 1 2/m 1'
_space_group_IT_number 12
_space_group_name_Hall '-C 2y'
loop_
_atom_site_label
_atom_site_fract_x
_atom_site_fract_y
_atom_site_fract_z
Ac1 0.1257 0.0000 0.2591
Ge1 0.1478 0.0000 0.7235
Rh1 0.0000 0.5000 0.5000
Rh2 0.1476 0.5000 0.9299
```

* final energy: -6.3375 eV/atom
* size of the total moment: 0.00 μB/f.u.
* ΔH_f (0 K): -0.694 eV per atom



Density functional theory data (GGA-PBE) for a relaxed structure of Ac4GeRh4.

```
data_Ac4GeRh4
_cell_length_a 8.7620
_cell_length_b 8.7620
_cell_length_c 6.3602
_cell_angle_alpha 90.00
_cell_angle_beta 90.00
_cell_angle_gamma 90.00
_space_group_name_H-M_alt 'P 42/n m c'
_space_group_IT_number 137
loop_
_space_group_symop_operation_xyz
'x,y,z'
'-x,-y,-z'
'-y+1/2,x,z+1/2'
'y+1/2,-x,-z+1/2'
'-x+1/2,-y+1/2,z'
'x+1/2,y+1/2,-z'
'y,-x+1/2,z+1/2'
'-y,x+1/2,-z+1/2'
'x+1/2,-y,-z'
'-x+1/2,y,z'
'-y,-x,-z+1/2'
'y,x,z+1/2'
'-x,y+1/2,-z'
'x,-y+1/2,z'
'y+1/2,x+1/2,-z+1/2'
'-y+1/2,-x+1/2,z+1/2'
loop_
_atom_site_label
_atom_site_fract_x
_atom_site_fract_y
_atom_site_fract_z
Ac1 0.0213 0.2500 0.0687
Ge1 0.2500 0.7500 0.2500
Rh1 0.0114 0.7500 0.4548
```

* final energy: -6.2171 eV/atom
* size of the total moment: 0.00 μB/f.u.
* ΔH_f (0 K): -0.611 eV per atom



Density functional theory data (GGA-PBE) for a relaxed structure of Ac12Ge3Rh5.

```
data_Ac12Ge3Rh5
_cell_length_a 18.0088
_cell_length_b 18.0088
_cell_length_c 18.0088
_cell_angle_alpha 90.00
_cell_angle_beta 90.00
_cell_angle_gamma 90.00
_space_group_name_H-M_alt 'I a -3 d'
_space_group_IT_number 230
_space_group_name_Hall '-I 4bd 2c 3'
loop_
_atom_site_label
_atom_site_fract_x
_atom_site_fract_y
_atom_site_fract_z
Ac1 0.0244 0.0613 0.6514
Ge1 0.0000 0.2500 0.1250
Rh1 0.0000 0.0000 0.0000
Rh2 0.0000 0.2500 0.3750
```

* final energy: -5.3987 eV/atom
* size of the total moment: 0.00 μB/f.u.
* ΔH_f (0 K): -0.403 eV per atom



Density functional theory data (GGA-PBE) for a relaxed structure of Ac3Ge5Rh6.

```
data_Ac3Ge5Rh6
_cell_length_a 4.1785
_cell_length_b 12.9311
_cell_length_c 10.5193
_cell_angle_alpha 90.00
_cell_angle_beta 90.00
_cell_angle_gamma 90.00
_space_group_name_H-M_alt 'P m m n'
_space_group_IT_number 59
loop_
_space_group_symop_operation_xyz
'x,y,z'
'-x,-y,-z'
'-x+1/2,-y+1/2,z'
'x+1/2,y+1/2,-z'
'x+1/2,-y,-z'
'-x+1/2,y,z'
'-x,y+1/2,-z'
'x,-y+1/2,z'
loop_
_atom_site_label
_atom_site_fract_x
_atom_site_fract_y
_atom_site_fract_z
Ac1 0.2500 0.0951 0.2413
Ac2 0.2500 0.7500 0.2467
Ge1 0.2500 0.0744 0.6417
Ge2 0.2500 0.6243 0.9952
Ge3 0.2500 0.7500 0.6008
Rh1 0.2500 0.0492 0.8962
Rh2 0.2500 0.2500 0.0030
Rh3 0.2500 0.2500 0.5236
Rh4 0.2500 0.5795 0.4898
```

* final energy: -6.4867 eV/atom
* size of the total moment: 0.00 μB/f.u.
* ΔH_f (0 K): -0.807 eV per atom



Density functional theory data (GGA-PBE) for a relaxed structure of AcGeRh3.

```
data_AcGeRh3
_cell_length_a 5.5361
_cell_length_b 8.7630
_cell_length_c 8.3314
_cell_angle_alpha 90.00
_cell_angle_beta 90.00
_cell_angle_gamma 90.00
_space_group_name_H-M_alt 'I m m a'
_space_group_IT_number 74
_space_group_name_Hall '-I 2b 2'
loop_
_atom_site_label
_atom_site_fract_x
_atom_site_fract_y
_atom_site_fract_z
Ac1 0.0000 0.2500 0.0382
Ge1 0.0000 0.0000 0.5000
Rh1 0.0000 0.2500 0.6645
Rh2 0.2500 0.0015 0.7500
```

* final energy: -6.7255 eV/atom
* size of the total moment: 0.00 μB/f.u.
* ΔH_f (0 K): -0.570 eV per atom
* polymorph energy (0 for the lowest one): 0.000 eV per atom



Density functional theory data (GGA-PBE) for a relaxed structure of AcGe4Rh6.

```
data_AcGe4Rh6
_cell_length_a 7.2750
_cell_length_b 7.2750
_cell_length_c 3.9397
_cell_angle_alpha 90.00
_cell_angle_beta 90.00
_cell_angle_gamma 120.00
_space_group_name_H-M_alt 'P -6 m 2'
_space_group_IT_number 187
_space_group_name_Hall 'P -6 2'
loop_
_atom_site_label
_atom_site_fract_x
_atom_site_fract_y
_atom_site_fract_z
Ac1 0.0000 0.0000 0.0000
Ge1 0.3333 0.6667 0.0000
Ge2 0.4035 0.2018 0.5000
Rh1 0.2018 0.4036 0.5000
Rh2 0.5329 0.0657 0.0000
```

* final energy: -6.7887 eV/atom
* size of the total moment: 0.00 μB/f.u.
* ΔH_f (0 K): -0.726 eV per atom



Density functional theory data (GGA-PBE) for a relaxed structure of Ac5Ge2Rh2.

```
data_Ac5Ge2Rh2
_cell_length_a 16.2413
_cell_length_b 8.1226
_cell_length_c 8.2254
_cell_angle_alpha 90.00
_cell_angle_beta 90.00
_cell_angle_gamma 90.00
_space_group_name_H-M_alt 'C m c e'
_space_group_IT_number 64
_space_group_name_Hall '-C 2ac 2'
loop_
_atom_site_label
_atom_site_fract_x
_atom_site_fract_y
_atom_site_fract_z
Ac1 0.0000 0.0000 0.0000
Ac2 0.1479 0.1789 0.3405
Ge1 0.0000 0.1135 0.6131
Rh1 0.1934 0.0000 0.0000
```

* final energy: -5.5549 eV/atom
* size of the total moment: 0.00 μB/f.u.
* ΔH_f (0 K): -0.613 eV per atom



Density functional theory data (GGA-PBE) for a relaxed structure of Ac4Ge3Rh.

```
data_Ac4Ge3Rh
_cell_length_a 4.3593
_cell_length_b 4.6359
_cell_length_c 11.5639
_cell_angle_alpha 90.00
_cell_angle_beta 90.00
_cell_angle_gamma 90.00
_space_group_name_H-M_alt 'P m m 2'
_space_group_IT_number 25
_space_group_name_Hall 'P 2 -2'
loop_
_atom_site_label
_atom_site_fract_x
_atom_site_fract_y
_atom_site_fract_z
Ac1 0.0000 0.0000 0.0000
Ac2 0.0000 0.5000 0.4801
Ac3 0.5000 0.0000 0.7057
Ac4 0.5000 0.5000 0.2120
Ge1 0.0000 0.5000 0.7766
Ge2 0.5000 0.0000 0.4098
Ge3 0.5000 0.5000 0.9221
Rh1 0.0000 0.0000 0.2754
```

* final energy: -5.3877 eV/atom
* size of the total moment: 0.52 μB/f.u.
* ΔH_f (0 K): -0.683 eV per atom



Density functional theory data (GGA-PBE) for a relaxed structure of Ac4Ge2Rh.

```
data_Ac4Ge2Rh
_cell_length_a 12.3986
_cell_length_b 4.7116
_cell_length_c 9.1920
_cell_angle_alpha 90.00
_cell_angle_beta 123.60
_cell_angle_gamma 90.00
_space_group_name_H-M_alt 'C 1 2/m 1'
_space_group_IT_number 12
_space_group_name_Hall '-C 2y'
loop_
_atom_site_label
_atom_site_fract_x
_atom_site_fract_y
_atom_site_fract_z
Ac1 0.0837 0.0000 0.3674
Ac2 0.1798 0.5000 0.0771
Ge1 0.1208 0.5000 0.6453
Rh1 0.0000 0.0000 0.0000
```

* final energy: -5.3296 eV/atom
* size of the total moment: 0.00 μB/f.u.
* ΔH_f (0 K): -0.612 eV per atom
* polymorph energy (0 for the lowest one): 0.000 eV per atom



Density functional theory data (GGA-PBE) for a relaxed structure of Ac2Ge2Rh.

```
data_Ac2Ge2Rh
_cell_length_a 11.6660
_cell_length_b 4.4117
_cell_length_c 11.6206
_cell_angle_alpha 90.00
_cell_angle_beta 117.24
_cell_angle_gamma 90.00
_space_group_name_H-M_alt 'C 1 2/m 1'
_space_group_IT_number 12
_space_group_name_Hall '-C 2y'
loop_
_atom_site_label
_atom_site_fract_x
_atom_site_fract_y
_atom_site_fract_z
Ac1 0.0998 0.0000 0.3915
Ac2 0.2103 0.5000 0.1418
Ge1 0.0408 0.0000 0.9153
Ge2 0.1116 0.5000 0.6143
Rh1 0.0528 0.5000 0.8059
```

* final energy: -5.7596 eV/atom
* size of the total moment: 0.00 μB/f.u.
* ΔH_f (0 K): -0.799 eV per atom



Density functional theory data (GGA-PBE) for a relaxed structure of Ac3GeRh.

```
data_Ac3GeRh
_cell_length_a 5.6823
_cell_length_b 5.6823
_cell_length_c 5.6823
_cell_angle_alpha 90.00
_cell_angle_beta 90.00
_cell_angle_gamma 90.00
_space_group_name_H-M_alt 'P m -3 m'
_space_group_IT_number 221
_space_group_name_Hall '-P 4 2 3'
loop_
_atom_site_label
_atom_site_fract_x
_atom_site_fract_y
_atom_site_fract_z
Ac1 0.0000 0.0000 0.5000
Ge1 0.5000 0.5000 0.5000
Rh1 0.0000 0.0000 0.0000
```

* final energy: -5.1813 eV/atom
* size of the total moment: 0.00 μB/f.u.
* ΔH_f (0 K): -0.323 eV per atom
* polymorph energy (0 for the lowest one): 0.242 eV per atom



Density functional theory data (GGA-PBE) for a relaxed structure of Ac2Ge2Rh3.

```
data_Ac2Ge2Rh3
_cell_length_a 4.2901
_cell_length_b 19.1912
_cell_length_c 7.3780
_cell_angle_alpha 90.00
_cell_angle_beta 90.00
_cell_angle_gamma 90.00
_space_group_name_H-M_alt 'C m c m'
_space_group_IT_number 63
_space_group_name_Hall '-C 2c 2'
loop_
_atom_site_label
_atom_site_fract_x
_atom_site_fract_y
_atom_site_fract_z
Ac1 0.0000 0.0566 0.2500
Ac2 0.0000 0.1547 0.7500
Ge1 0.0000 0.3119 0.5641
Rh1 0.0000 0.2206 0.2500
Rh2 0.0000 0.4355 0.0607
```

* final energy: -6.3376 eV/atom
* size of the total moment: 0.00 μB/f.u.
* ΔH_f (0 K): -0.694 eV per atom



Density functional theory data (GGA-PBE) for a relaxed structure of Ac2Ge3Rh2.

```
data_Ac2Ge3Rh2
_cell_length_a 4.4801
_cell_length_b 19.2097
_cell_length_c 7.2373
_cell_angle_alpha 90.00
_cell_angle_beta 90.00
_cell_angle_gamma 90.00
_space_group_name_H-M_alt 'C m c m'
_space_group_IT_number 63
_space_group_name_Hall '-C 2c 2'
loop_
_atom_site_label
_atom_site_fract_x
_atom_site_fract_y
_atom_site_fract_z
Ac1 0.0000 0.0570 0.2500
Ac2 0.0000 0.1625 0.7500
Ge1 0.0000 0.2208 0.2500
Ge2 0.0000 0.4374 0.0693
Rh1 0.0000 0.3048 0.5481
```

* final energy: -5.9591 eV/atom
* size of the total moment: 0.00 μB/f.u.
* ΔH_f (0 K): -0.706 eV per atom
* polymorph energy (0 for the lowest one): 0.000 eV per atom



Density functional theory data (GGA-PBE) for a relaxed structure of AcGe2Rh3.

```
data_AcGe2Rh3
_cell_length_a 16.7298
_cell_length_b 4.1484
_cell_length_c 10.0928
_cell_angle_alpha 90.00
_cell_angle_beta 107.09
_cell_angle_gamma 90.00
_space_group_name_H-M_alt 'C 1 2/m 1'
_space_group_IT_number 12
_space_group_name_Hall '-C 2y'
loop_
_atom_site_label
_atom_site_fract_x
_atom_site_fract_y
_atom_site_fract_z
Ac1 0.0000 0.0000 0.0000
Ac2 0.1619 0.0000 0.7033
Ge1 0.0312 0.5000 0.7689
Ge2 0.1397 0.5000 0.4481
Ge3 0.1952 0.0000 0.1239
Rh1 0.0000 0.5000 0.5000
Rh2 0.0454 0.0000 0.3357
Rh3 0.1240 0.5000 0.2013
Rh4 0.1761 0.5000 0.9590
Rh5 0.2165 0.0000 0.3939
```

* final energy: -6.6396 eV/atom
* size of the total moment: 0.00 μB/f.u.
* ΔH_f (0 K): -0.740 eV per atom
* polymorph energy (0 for the lowest one): 0.000 eV per atom



Density functional theory data (GGA-PBE) for a relaxed structure of AcGeRh4.

```
data_AcGeRh4
_cell_length_a 7.5351
_cell_length_b 4.0168
_cell_length_c 7.2453
_cell_angle_alpha 90.00
_cell_angle_beta 90.00
_cell_angle_gamma 90.00
_space_group_name_H-M_alt 'P m m a'
_space_group_IT_number 51
_space_group_name_Hall '-P 2a 2a'
loop_
_atom_site_label
_atom_site_fract_x
_atom_site_fract_y
_atom_site_fract_z
Ac1 0.2500 0.0000 0.1404
Ge1 0.2500 0.0000 0.7126
Rh1 0.0000 0.0000 0.5000
Rh2 0.0572 0.5000 0.7861
Rh3 0.2500 0.5000 0.4589
```

* final energy: -6.7440 eV/atom
* size of the total moment: 0.00 μB/f.u.
* ΔH_f (0 K): -0.389 eV per atom